Record 1
ZrRe2P meta-GGA SCAN single point on PBEsol structure; VASP energy = -184.33 eV/cell; symmetry = Pm, No. 6; energy of formation from the pure elements = -0.2596 eV per atom; ρ = 13252 kg/m3
1.0
-1.6808 -0.3029 -2.5543
-3.1496 -1.0781 2.2004
-0.7178 4.9659 1.4056
P Re Zr
1 2 1
Cartesian
-2.1741 3.0191 1.9857
-0.2818 0.0355 -0.3859
-3.1030 0.3294 -0.6617
-1.1887 2.5325 -0.4607

=====

Record 2
LiAsPt2 meta-GGA SCAN single point on PBEsol structure; VASP energy = -165.10 eV/cell; symmetry = I4/mmm, No. 139; energy of formation from the pure elements = -0.5341 eV per atom; ρ = 13782 kg/m3
1.0
3.9125 0.0000 0.0000
0.0000 3.9125 0.0000
-1.9563 -1.9563 3.7152
As Pt Li
1 2 1
Cartesian
0.0000 0.0000 0.0000
1.9563 0.0000 1.8576
0.0000 1.9563 1.8576
1.9563 1.9563 0.0000

=====

Record 3
RbCa2PdI meta-GGA SCAN single point on PBEsol structure; VASP energy = -105.95 eV/cell; symmetry = P4/mmm, No. 123; raw formation energy = 726.7 meV per atom; ρ = 3183 kg/m3
1.0
-1.7350 -2.8143 3.8033
5.5539 -3.2310 0.1427
2.3588 4.2407 4.2139
I Ca Rb Pd
1 2 1 1
Cartesian
3.0889 -0.9023 4.0800
1.1794 2.1204 2.1070
2.7769 -1.6155 0.0713
0.0000 0.0000 0.0000
-0.8675 -1.4071 1.9017

=====

Record 4
HfTcSnOs2 meta-GGA SCAN single point on PBEsol structure; VASP energy = -270.89 eV/cell; symmetry = P4/mmm, No. 123; energy of formation from the pure elements = 1.3045 eV per atom; ρ = 12350 kg/m3
1.0
-4.5211 0.1358 1.0799
0.0124 -4.6072 0.6311
1.1287 0.6393 4.6450
Hf Os Sn Tc
1 2 1 1
Cartesian
0.5644 0.3196 2.3225
0.0062 -2.3036 0.3155
-2.2605 0.0679 0.5400
-1.6900 -1.9161 3.1780
0.0000 0.0000 0.0000

=====

Record 5
Ca2B5H7O13 meta-GGA SCAN single point on PBEsol structure; VASP energy = -885.56 eV/cell; symmetry = P2_1/c, No. 14; ρ = 2554 kg/m3
1.0
-0.5461 0.3170 -6.8945
-7.9293 -8.2027 0.2509
-5.2383 11.0558 0.9233
Ca B H O
8 20 28 52
Cartesian
-3.2314 6.4178 -1.1036
-13.0883 2.2726 -3.9897
-10.4822 -3.2477 -4.6167
-0.6254 0.8975 -1.7307
-4.8728 1.8842 -4.8286
-6.2354 -4.2340 -1.5259
-8.8409 1.2860 -0.8917
-7.4783 7.4041 -4.1945
-3.9872 1.9144 -1.3814
-7.1147 -4.2679 -4.8941
-9.7265 1.2557 -4.3390
-6.5989 7.4380 -0.8263
-1.9793 3.5775 -1.5873
-9.1420 -5.9197 -4.9328
-11.7343 -0.4074 -4.1331
-4.5717 9.0898 -0.7876
-4.2206 3.9329 -2.7474
-7.1134 -6.1516 -6.4581
-9.4931 -0.7627 -2.9730
-6.6003 9.3217 0.7377
-6.1096 4.6553 -4.2951
-10.1884 4.0226 -0.5250
-7.6040 -1.4851 -1.4253
-3.5252 -0.8524 -5.1954
-6.1405 5.3077 -1.8873
-10.3305 3.4705 -5.1160
-7.5732 -2.1376 -3.8331
-3.3831 -0.3004 -0.6043
-7.7557 3.3439 -4.5648
-8.5957 5.3649 -0.9291
-5.9579 -0.1738 -1.1556
-5.1179 -2.1948 -4.7912
-6.1803 5.2445 0.6610
-9.8904 3.3014 -2.6107
-7.5333 -2.0743 -6.3813
-3.8233 -0.1313 -3.1097
-4.8384 3.3379 -0.2170
-11.3397 5.2704 -3.0894
-8.8752 -0.1677 -5.5034
-2.3739 -2.1003 -2.6310
-8.8834 -3.2443 -0.2234
-2.0603 0.7990 -4.0540
-4.8303 6.4145 -5.4970
-11.6533 2.3711 -1.6663
-8.5610 -4.8108 -2.8696
-2.7830 2.5979 -6.4627
-5.1526 7.9810 -2.8508
-10.9307 0.5722 0.7424
-7.3737 0.6261 -4.5205
-3.7081 -2.9912 -1.5010
-6.3399 2.5440 -1.1999
-10.0056 6.1614 -4.2194
-6.7236 0.3055 -3.1147
-4.1270 -2.8049 0.0128
-6.9901 2.8646 -2.6057
-9.5867 5.9750 -5.7332
-6.7516 5.9637 -0.8320
-9.5659 2.7254 -4.2341
-6.9620 -2.7936 -4.8884
-4.1477 0.4447 -1.4862
-4.8083 2.3526 -0.1929
-6.1203 -4.8066 -3.8943
-8.9054 0.8176 -5.5275
-7.5933 7.9768 -1.8260
-4.4918 2.5174 -2.5885
-6.8104 -4.7546 -6.2154
-9.2219 0.6528 -3.1318
-6.9033 7.9247 0.4951
-2.5596 2.2729 -1.1565
-8.4919 -4.6557 -4.4814
-11.1541 0.8972 -4.5638
-5.2218 7.8258 -1.2389
-9.7973 -3.6970 -0.1554
-1.1438 1.2502 -4.0894
-3.9164 6.8672 -5.5650
-12.5699 1.9199 -1.6309
-8.5447 -4.8852 -1.8544
-2.6391 2.5793 -5.4550
-5.1690 8.0554 -3.8660
-11.0745 0.5908 -0.2653
-2.7927 4.2299 -2.6271
-8.5068 -6.4687 -6.1426
-10.9209 -1.0598 -3.0933
-5.2069 9.6388 0.4222
-4.9092 4.7305 -1.6584
-11.5063 4.0156 -4.6449
-8.8045 -1.5603 -4.0620
-2.2073 -0.8454 -1.0755
-4.6837 4.3494 -4.0756
-11.5599 4.2969 -0.0572
-9.0300 -1.1792 -1.6447
-2.1537 -1.1267 -5.6631
-6.1956 5.6300 -5.3941
-10.2832 3.1528 -1.7081
-7.5180 -2.4598 -0.3263
-3.4305 0.0173 -4.0123
-6.7715 3.3622 -4.4762
-9.5539 5.3315 -0.6892
-6.9421 -0.1920 -1.2441
-4.1598 -2.1614 -5.0312
-6.6961 5.3706 -3.1275
-9.4310 3.2080 0.4658
-7.0176 -2.2004 -2.5929
-4.2827 -0.0379 -6.1862
-6.5154 0.3666 -4.0839
-4.4853 -2.7789 -0.9131
-7.1983 2.8035 -1.6365
-9.2284 5.9490 -4.8072

=====

Record 6
MgCu2Tc meta-GGA SCAN single point on PBEsol structure; VASP energy = -69.76 eV/cell; symmetry = P4/mmm, No. 123; energy of formation from the pure elements = 0.1676 eV per atom; ρ = 7777 kg/m3
1.0
2.6768 0.0000 0.0000
0.0000 4.4602 0.0000
0.0000 0.0000 4.4602
Cu Mg Tc
2 1 1
Cartesian
0.0000 0.0000 2.2301
0.0000 2.2301 0.0000
1.3384 2.2301 2.2301
1.3384 0.0000 0.0000

=====

Record 7
RbIn2GeC meta-GGA SCAN single point on PBEsol structure; VASP energy = -112.01 eV/cell; symmetry = P4/mmm, No. 123; energy of formation from the pure elements = 0.9370 eV per atom; ρ = 4958 kg/m3
1.0
-3.1622 2.0900 -0.0535
-1.2375 -2.0119 -5.4534
-3.0350 -4.5316 2.3605
Ge C Rb In
1 1 1 2
Cartesian
-1.5811 1.0450 -0.0267
0.0000 0.0000 0.0000
-3.7173 -2.2268 -1.5732
-1.5175 -2.2658 1.1803
-0.6187 -1.0060 -2.7267

=====

Record 8
CdReCl3 meta-GGA SCAN single point on PBEsol structure; VASP energy = -123.49 eV/cell; symmetry = Pm-3m, No. 221; raw formation energy = 391.5 meV per atom; ρ = 5080 kg/m3
1.0
-4.5948 0.7244 2.0824
-2.0900 0.1020 -4.6470
-0.7022 -5.0436 0.2051
Re Cl Cd
1 3 1
Cartesian
-3.6935 -2.1086 -1.1798
-1.0450 0.0510 -2.3235
-0.3511 -2.5218 0.1025
-2.2974 0.3622 1.0412
0.0000 0.0000 0.0000

=====

Record 9
CaTi2HgC meta-GGA SCAN single point on PBEsol structure; VASP energy = -119.26 eV/cell; symmetry = P4/mmm, No. 123; energy of formation from the pure elements = 0.1458 eV per atom; ρ = 6389 kg/m3
1.0
-0.0010 -1.6242 3.9141
-3.6538 -1.9823 -0.8235
2.5542 -4.0158 -1.6657
C Ca Hg Ti
1 1 1 2
Cartesian
0.0000 0.0000 0.0000
-0.5503 -3.8111 0.7124
1.2771 -2.0079 -0.8329
-1.8269 -0.9912 -0.4118
-0.0005 -0.8121 1.9570

=====

Record 10
P3C meta-GGA SCAN single point on PBEsol structure; VASP energy = -38.56 eV/cell; energy relative to the lowest polymorph listed for this composition = 0.0 kJ/mol of formula units; symmetry = Pmm2, No. 25; energy of formation from the pure elements = 0.6844 eV per atom; ρ = 3479 kg/m3
1.0
3.1028 0.0000 0.0000
0.0000 3.6869 0.0000
0.0000 0.0000 4.3780
P C
3 1
Cartesian
0.0000 2.4044 2.1890
1.5514 0.7854 2.1890
1.5514 0.1510 0.0000
0.0000 2.8041 0.0000

=====

Record 11
Sr2LaHf meta-GGA SCAN single point on PBEsol structure; VASP energy = -147.61 eV/cell; symmetry = Fm-3m, No. 225; energy of formation from the pure elements = 0.6791 eV per atom; ρ = 5809 kg/m3
1.0
-5.6785 1.2040 0.6379
-3.9327 -2.5349 -3.4943
-3.6219 -4.0521 2.1362
Sr Hf La
2 1 1
Cartesian
-3.3082 -1.3458 -0.1800
-9.9247 -4.0373 -0.5401
-6.6165 -2.6915 -0.3601
0.0000 0.0000 0.0000

=====

Record 12
CaCdCo3 meta-GGA SCAN single point on PBEsol structure; VASP energy = -83.05 eV/cell; symmetry = Pm-3m, No. 221; energy of formation from the pure elements = 1.7884 eV per atom; ρ = 6393 kg/m3
1.0
4.4059 0.0000 0.0000
0.0000 4.4059 0.0000
0.0000 0.0000 4.4059
Ca Co Cd
1 3 1
Cartesian
0.0000 0.0000 0.0000
0.0000 2.2030 0.0000
0.0000 0.0000 2.2030
2.2030 0.0000 0.0000
2.2030 2.2030 2.2030